No. 1
# SrBeAu2 (PBE-GGA, relaxed)
data_SrBeAu2
_chemical_formula_sum 'Sr1 Be1 Au2'
_cell_length_a 3.5152
_cell_length_b 3.5172
_cell_length_c 6.9358
_cell_angle_alpha 90.00
_cell_angle_beta 90.00
_cell_angle_gamma 90.00
_space_group_name_H-M_alt 'P 1'
_space_group_IT_number 1
loop_
_space_group_symop_operation_xyz
'x,y,z'
loop_
_atom_site_label
_atom_site_type_symbol
_atom_site_fract_x
_atom_site_fract_y
_atom_site_fract_z
Be1 Be 0.0000 0.0000 0.3755
Au1 Au 0.0000 0.0000 0.0368
Au2 Au 0.5000 0.5000 0.3235
Sr1 Sr 0.5000 0.5000 0.7642
# - Formation energy from the elements: -76 kJ/mol of formula units
# - Spin magnetization: 0.0 μB/f.u.

=====

No. 2
# La3U2Tc4 (PBE-GGA, relaxed)
data_La3U2Tc4
_chemical_formula_sum 'La3 U2 Tc4'
_cell_length_a 4.2648
_cell_length_b 6.1819
_cell_length_c 9.0661
_cell_angle_alpha 102.39
_cell_angle_beta 90.00
_cell_angle_gamma 110.18
_space_group_name_H-M_alt 'P 1'
_space_group_IT_number 1
loop_
_space_group_symop_operation_xyz
'x,y,z'
loop_
_atom_site_label
_atom_site_type_symbol
_atom_site_fract_x
_atom_site_fract_y
_atom_site_fract_z
Tc1 Tc 0.9102 0.8205 0.3555
Tc2 Tc 0.0898 0.1795 0.6445
Tc3 Tc 0.7282 0.4565 0.0945
Tc4 Tc 0.2718 0.5435 0.9055
U1 U 0.3282 0.6563 0.2197
U2 U 0.6718 0.3437 0.7803
La1 La 0.3744 0.7487 0.6161
La2 La 0.6256 0.2513 0.3839
La3 La 0.0000 0.0000 0.0000
# - Formation energy from the elements: -88 kJ/mol of formula units
# - Spin magnetization: 0.0 μB/f.u.

=====

No. 3
# SrPu2TaN4 (PBE-GGA, relaxed)
data_SrPu2TaN4
_chemical_formula_sum 'Sr2 Pu4 Ta2 N8'
_cell_length_a 3.4645
_cell_length_b 6.3678
_cell_length_c 12.3878
_cell_angle_alpha 90.00
_cell_angle_beta 90.00
_cell_angle_gamma 105.79
_space_group_name_H-M_alt 'P 1'
_space_group_IT_number 1
loop_
_space_group_symop_operation_xyz
'x,y,z'
loop_
_atom_site_label
_atom_site_type_symbol
_atom_site_fract_x
_atom_site_fract_y
_atom_site_fract_z
N1 N 0.4237 0.8474 0.7500
N2 N 0.0000 0.0000 0.5000
N3 N 0.5763 0.1526 0.2500
N4 N 0.2608 0.5215 0.3747
N5 N 0.2608 0.5215 0.1253
N6 N 0.7392 0.4785 0.8747
N7 N 0.0000 0.0000 0.0000
N8 N 0.7392 0.4785 0.6253
Pu1 Pu 0.3701 0.7402 0.9682
Pu2 Pu 0.6299 0.2598 0.4682
Pu3 Pu 0.3701 0.7402 0.5318
Pu4 Pu 0.6299 0.2598 0.0318
Sr1 Sr 0.8990 0.7980 0.2500
Sr2 Sr 0.1010 0.2020 0.7500
Ta1 Ta 0.8352 0.6704 0.7500
Ta2 Ta 0.1648 0.3296 0.2500
# - Formation energy (no corrections): -1.06 eV per atom
# - Spin magnetization: 11.0 μB/f.u.